(1)
## Cd8CuAg2 (PBE-GGA)

Data for a geometry-optimized Cd8CuAg2 structure.

Unit cell a=7.754 b=7.754 c=4.940 alpha=102.20 beta=102.20 gamma=118.31
Atoms (fractional coordinates):
Cd  0.096  0.323  0.636
Cd  0.204  0.796  0.000
Cd  0.323  0.096  0.636
Cd  0.369  0.369  0.198
Cd  0.631  0.631  0.802
Cd  0.677  0.904  0.364
Cd  0.796  0.204  0.000
Cd  0.904  0.677  0.364
Cu  0.000  0.000  0.000
Ag  0.306  0.694  0.500
Ag  0.694  0.306  0.500

Properties
ΔE to the lowest computed polymorph	73	meV per atom
ΔE_f	0.87	eV/f.u.
Fermi-level density of states	2.99	states/eV/f.u.

(2)
## YSc2Be (PBE-GGA)

Data for a geometry-optimized YSc2Be structure.

Unit cell a=5.384 b=5.384 c=5.384 alpha=130.80 beta=130.80 gamma=72.13
Atoms (fractional coordinates):
Y  0.000  0.000  0.000
Sc  0.500  0.500  0.000
Sc  0.750  0.250  0.500
Be  0.250  0.750  0.500

Properties
ΔE_f	0.93	eV/f.u.
Fermi-level density of states	5.28	states/eV/f.u.

(3)
## Ho6TlSb3 (PBE-GGA)

Data for a geometry-optimized Ho6TlSb3 structure.

Unit cell a=8.158 b=8.158 c=8.406 alpha=90.00 beta=90.00 gamma=88.98
Atoms (fractional coordinates):
Ho  0.003  0.498  0.250
Ho  0.159  0.841  0.501
Ho  0.159  0.841  0.999
Ho  0.340  0.340  0.000
Ho  0.340  0.340  0.500
Ho  0.498  0.003  0.750
Ho  0.502  0.997  0.250
Ho  0.660  0.660  0.000
Ho  0.660  0.660  0.500
Ho  0.841  0.159  0.001
Ho  0.841  0.159  0.499
Ho  0.997  0.502  0.750
Tl  0.353  0.647  0.250
Tl  0.647  0.353  0.750
Sb  0.143  0.148  0.750
Sb  0.148  0.143  0.250
Sb  0.359  0.641  0.750
Sb  0.641  0.359  0.250
Sb  0.852  0.857  0.750
Sb  0.857  0.852  0.250

Properties
formation energy without anion corrections	-0.755	eV/atom
Fermi-level density of states	8.17	states/eV/f.u.